Entry 1:
This record from Alexandria describes a geometry-optimized La2ZrAs structure. The functional is PBEsol.

The space group is I-4m2 (No. 119) and the conventional cell measures 4.516, 4.516 and 9.545 Å, with angles of 90.00, 90.00 and 90.00 degrees. The inequivalent atoms are La at (0.000, 0.000, 0.000), La at (0.000, 0.500, 0.250), Zr at (0.000, 0.000, 0.500) and As at (0.000, 0.500, 0.750).

Its formation energy is -383 meV/atom. The calculation puts the density of states at the Fermi level at 6.5 states/eV/cell. For the total energy, the calculation gives -6.605 eV per atom.

---

Entry 2:
This record from Alexandria describes a geometry-optimized Tm2NiPt structure. The functional is PBEsol.

The space group is Fm-3m (No. 225) and the conventional cell measures 6.686, 6.686 and 6.686 Å, with angles of 90.00, 90.00 and 90.00 degrees. The inequivalent atoms are Tm at (0.250, 0.250, 0.250), Ni at (0.000, 0.000, 0.000) and Pt at (0.000, 0.000, 0.500).

Its formation energy is -855 meV/atom. The calculation puts the density of states at the Fermi level at 8.5 states/eV/cell. For the total energy, the calculation gives -6.584 eV per atom.

---

Entry 3:
This record from Alexandria describes a geometry-optimized ZrInP2S structure. The functional is PBEsol.

The space group is P4/mmm (No. 123) and the conventional cell measures 4.811, 4.811 and 4.825 Å, with angles of 90.00, 90.00 and 90.00 degrees. The inequivalent atoms are Zr at (0.000, 0.000, 0.000), In at (0.500, 0.500, 0.500), P at (0.000, 0.500, 0.500) and S at (0.500, 0.500, 0.000).

The calculation puts the density of states at the Fermi level at 3.1 states/eV/cell. Its formation energy without anion corrections is 3.59 eV per formula unit. For the total energy, the calculation gives -4.891 eV per atom.

---

Which formula does entry 2 have?
Tm2NiPt